# 1
A relaxed PuTaGa crystal. Source: Alexandria via LeMat-Bulk, functional GGA-PBE.

SG = I4mm
Spin magnetization = 1.587 μB/atom
Calculated volume = 58 Å³/f.u.
E_form = -0.0091 eV per atom
Energy above the most stable polymorph in this dataset = 0 meV/atom
Raw total energy = -29.2 eV for the cell shown

```
data_PuTaGa
_chemical_formula_sum 'Pu1 Ta1 Ga1'
_cell_length_a 2.913
_cell_length_b 2.913
_cell_length_c 7.166
_cell_angle_alpha 101.73
_cell_angle_beta 101.73
_cell_angle_gamma 90.00
_symmetry_space_group_name_H-M 'P 1'
_symmetry_Int_Tables_number 1
_symmetry_space_group_name_Hall 'P 1'
loop_
_atom_site_label
_atom_site_fract_x
_atom_site_fract_y
_atom_site_fract_z
Ta1 0.679 0.679 0.358
Ga1 0.324 0.324 0.648
Pu1 0.997 0.997 0.994
```

***

# 2
A relaxed PuTaGa2 crystal. Source: Alexandria via LeMat-Bulk, functional GGA-PBE.

SG = R-3m
Spin magnetization = 1.357 μB/atom
Calculated volume = 80 Å³/f.u.
E_form = 0.1651 eV per atom
Energy above the most stable polymorph in this dataset = 282 meV/atom
Raw total energy = -31.6 eV for the cell shown

```
data_PuTaGa2
_chemical_formula_sum 'Pu1 Ta1 Ga2'
_cell_length_a 2.942
_cell_length_b 2.942
_cell_length_c 10.749
_cell_angle_alpha 82.13
_cell_angle_beta 82.13
_cell_angle_gamma 60.00
_symmetry_space_group_name_H-M 'P 1'
_symmetry_Int_Tables_number 1
_symmetry_space_group_name_Hall 'P 1'
loop_
_atom_site_label
_atom_site_fract_x
_atom_site_fract_y
_atom_site_fract_z
Ga1 0.094 0.094 0.718
Pu1 0.000 0.000 0.000
Ta1 0.500 0.500 0.500
Ga2 0.906 0.906 0.282
```

***

Q: What is the energy above the most stable polymorph in this dataset in the first record?
A: 0 meV/atom

***

Q: Which value of spin magnetization does entry 2 give?
A: 1.357 μB/atom

***

Q: Among the records above, which one has the highest E_form?
A: PuTaGa2

***

Q: Which formula does entry 2 have?
A: PuTaGa2